VASP calculation (PBE) on a geometry-optimized Cd2FeCuCl structure.

- Electronic total energy: -2.8289 eV/atom

abc: 5.0589 4.6471 5.0589
angles: 90.00 90.00 90.00
Each line ends with the local moment (μB).
Fractional coordinates of all 5 atoms:
Cl1 0.5000 0.5000 0.5000  0.07
Fe1 0.0000 0.5000 0.0000  3.28
Cu1 0.0000 0.0000 0.0000  0.09
Cd1 0.0000 0.0000 0.5000  -0.01
Cd2 0.5000 0.0000 0.0000  0.03